Tb6Pm2DyY3 | GGA-PBE | relaxed

The space group is C2/m (No. 12) and the conventional cell measures 6.198, 10.727 and 11.859 Å, with angles of 90.00, 99.97 and 90.00 degrees. The asymmetric unit holds Tb at (0.248, 0.000, 0.249), Tb at (0.249, 0.334, 0.249), Pm at (0.000, 0.333, 0.500), Dy at (0.000, 0.000, 0.500), Y at (0.000, 0.166, 0.000) and Y at (0.000, 0.500, 0.000).

The uncorrected energy is -5.091 eV per atom. The value obtained for the size of the total moment is 0.00 μB/atom. For the formation energy, the calculation gives 16 meV per atom.

---

TbPm2Dy2Y6 | GGA-PBE | relaxed

The space group is C2/m (No. 12) and the conventional cell measures 5.687, 12.060 and 10.624 Å, with angles of 90.00, 90.09 and 90.00 degrees. The asymmetric unit holds Tb at (0.000, 0.000, 0.000), Pm at (0.000, 0.366, 0.500), Dy at (0.000, 0.294, 0.000), Y at (0.001, 0.153, 0.709) and Y at (0.001, 0.500, 0.795).

The uncorrected energy is -5.501 eV per atom. The value obtained for the size of the total moment is 0.00 μB/atom. For the formation energy, the calculation gives 146 meV per atom.

---

TbPm2Dy2Y | GGA-PBE | relaxed

The space group is Pmma (No. 51) and the conventional cell measures 7.034, 5.660 and 9.802 Å, with angles of 90.00, 90.00 and 90.00 degrees. The asymmetric unit holds Tb at (0.250, 0.000, 0.160), Pm at (0.000, 0.000, 0.500), Pm at (0.250, 0.500, 0.675), Dy at (0.250, 0.000, 0.831), Dy at (0.250, 0.500, 0.337) and Y at (0.000, 0.500, 0.000).

The uncorrected energy is -4.906 eV per atom. The value obtained for the size of the total moment is 0.00 μB/atom. For the formation energy, the calculation gives 60 meV per atom.

---

> Number 1 is which compound?

Tb6Pm2DyY3